Entry 1:
The following is a DFT calculation (PBE-GGA) of a relaxed TbGdGe crystal.

Results
Distance to the lowest polymorph of the same formula = 0.962 eV/atom
Calculated total energy = -4.30 eV per atom
Crystal system = cubic

Cell lengths 5.013, 5.013, 5.013 Å; angles 60.00, 60.00, 60.00 degrees
Element x y z (fractional)
Gd: 0.000 0.000 0.000
Ge: 0.250 0.250 0.250
Tb: 0.750 0.750 0.750

=====

Entry 2:
The following is a DFT calculation (PBE-GGA) of a relaxed NaPrZnSe3 crystal.

Results
Distance to the lowest polymorph of the same formula = 0.006 eV/atom
Calculated total energy = -4.26 eV per atom
Crystal system = orthorhombic

Cell lengths 7.112, 7.112, 11.377 Å; angles 90.00, 90.00, 34.00 degrees
Element x y z (fractional)
Na: 0.755 0.755 0.250
Na: 0.245 0.245 0.750
Pr: 0.000 0.000 0.000
Pr: 0.000 0.000 0.500
Se: 0.358 0.358 0.078
Se: 0.079 0.079 0.250
Se: 0.358 0.358 0.422
Se: 0.642 0.642 0.578
Se: 0.921 0.921 0.750
Se: 0.642 0.642 0.922
Zn: 0.466 0.466 0.250
Zn: 0.534 0.534 0.750

=====

Entry 3:
The following is a DFT calculation (PBE-GGA) of a relaxed GaTcO3 crystal.

Results
Calculated total energy = -7.02 eV per atom
Crystal system = trigonal

Cell lengths 4.887, 4.887, 5.744 Å; angles 64.82, 64.82, 60.00 degrees
Element x y z (fractional)
Ga: 0.648 0.648 0.057
Ga: 0.352 0.352 0.943
O: 0.565 0.257 0.232
O: 0.947 0.565 0.232
O: 0.257 0.947 0.232
O: 0.743 0.053 0.768
O: 0.053 0.435 0.768
O: 0.435 0.743 0.768
Tc: 0.841 0.841 0.477
Tc: 0.159 0.159 0.523

=====

Entry 4:
The following is a DFT calculation (PBE-GGA) of a relaxed Tm3Zn2InCuAu2 crystal.

Results
Calculated total energy = -3.82 eV per atom
Crystal system = orthorhombic

Cell lengths 3.876, 7.360, 7.360 Å; angles 119.50, 90.00, 90.00 degrees
Element x y z (fractional)
Au: 0.500 0.665 0.328
Au: 0.500 0.328 0.665
Cu: 0.000 0.014 0.014
In: 0.500 0.763 0.763
Tm: 0.000 0.587 0.002
Tm: 0.000 0.396 0.396
Tm: 0.000 0.002 0.587
Zn: 0.500 0.241 0.001
Zn: 0.500 0.001 0.241

=====

Entry 5:
The following is a DFT calculation (PBE-GGA) of a relaxed InWAu3Se4 crystal.

Results
Calculated total energy = -4.28 eV per atom
Crystal system = cubic

Cell lengths 6.366, 6.366, 6.366 Å; angles 90.00, 90.00, 90.00 degrees
Element x y z (fractional)
Au: 0.500 0.500 0.000
Au: 0.500 0.000 0.500
Au: 0.000 0.500 0.500
In: 0.000 0.000 0.000
Se: 0.277 0.277 0.277
Se: 0.723 0.723 0.277
Se: 0.723 0.277 0.723
Se: 0.277 0.723 0.723
W: 0.500 0.500 0.500

=====

Entry 6:
The following is a DFT calculation (PBE-GGA) of a relaxed PrIrPdPb2 crystal.

Results
Calculated total energy = -5.54 eV per atom
Crystal system = tetragonal

Cell lengths 4.723, 4.723, 10.832 Å; angles 90.00, 90.00, 90.00 degrees
Element x y z (fractional)
Ir: 0.000 0.500 0.370
Ir: 0.500 0.000 0.630
Pb: 0.000 0.500 0.127
Pb: 0.000 0.000 0.500
Pb: 0.500 0.500 0.500
Pb: 0.500 0.000 0.873
Pd: 0.000 0.000 0.000
Pd: 0.500 0.500 0.000
Pr: 0.500 0.000 0.253
Pr: 0.000 0.500 0.747

=====

Entry 7:
The following is a DFT calculation (PBE-GGA) of a relaxed Sc2Ir2Se crystal.

Results
Calculated total energy = -7.26 eV per atom
Crystal system = orthorhombic

Cell lengths 7.323, 7.323, 8.010 Å; angles 90.00, 90.00, 150.85 degrees
Element x y z (fractional)
Ir: 0.777 0.223 0.103
Ir: 0.777 0.223 0.397
Ir: 0.223 0.777 0.603
Ir: 0.223 0.777 0.897
Sc: 0.608 0.392 0.015
Sc: 0.608 0.392 0.485
Sc: 0.392 0.608 0.515
Sc: 0.392 0.608 0.985
Se: 0.007 0.993 0.250
Se: 0.993 0.007 0.750

=====

Entry 8:
The following is a DFT calculation (PBE-GGA) of a relaxed TmAgPbSe3 crystal.

Results
Distance to the lowest polymorph of the same formula = 0.019 eV/atom
Calculated total energy = -4.52 eV per atom
Crystal system = orthorhombic

Cell lengths 7.207, 7.207, 10.563 Å; angles 90.00, 90.00, 147.02 degrees
Element x y z (fractional)
Ag: 0.534 0.466 0.250
Ag: 0.466 0.534 0.750
Pb: 0.241 0.759 0.250
Pb: 0.759 0.241 0.750
Se: 0.642 0.358 0.048
Se: 0.910 0.090 0.250
Se: 0.642 0.358 0.452
Se: 0.358 0.642 0.548
Se: 0.090 0.910 0.750
Se: 0.358 0.642 0.952
Tm: 0.000 0.000 0.000
Tm: 0.000 0.000 0.500

=====

Entry 9:
The following is a DFT calculation (PBE-GGA) of a relaxed CuSiIrPt crystal.

Results
Distance to the lowest polymorph of the same formula = 0.000 eV/atom
Calculated total energy = -6.06 eV per atom
Crystal system = cubic

Cell lengths 4.293, 4.293, 4.293 Å; angles 60.00, 60.00, 60.00 degrees
Element x y z (fractional)
Cu: 0.750 0.750 0.750
Ir: 0.250 0.250 0.250
Pt: 0.500 0.500 0.500
Si: 0.000 0.000 0.000

=====

Entry 10:
The following is a DFT calculation (PBE-GGA) of a relaxed Be2CdSi crystal.

Results
Calculated total energy = -2.65 eV per atom
Crystal system = cubic

Cell lengths 4.346, 4.346, 4.346 Å; angles 60.00, 60.00, 60.00 degrees
Element x y z (fractional)
Be: 0.000 0.000 0.000
Be: 0.750 0.750 0.750
Cd: 0.250 0.250 0.250
Si: 0.500 0.500 0.500

=====

Entry 11:
The following is a DFT calculation (PBE-GGA) of a relaxed Gd2ErAl3CuSn2 crystal.

Results
Calculated total energy = -4.65 eV per atom
Crystal system = orthorhombic

Cell lengths 4.295, 7.298, 7.298 Å; angles 119.68, 90.00, 90.00 degrees
Element x y z (fractional)
Al: 0.500 0.000 0.223
Al: 0.500 0.779 0.779
Al: 0.500 0.223 0.000
Cu: 0.000 0.005 0.005
Er: 0.000 0.386 0.386
Gd: 0.000 0.999 0.611
Gd: 0.000 0.611 0.999
Sn: 0.500 0.663 0.334
Sn: 0.500 0.334 0.663

=====

Entry 12:
The following is a DFT calculation (PBE-GGA) of a relaxed HfOF2 crystal.

Results
Calculated total energy = -8.09 eV per atom
Crystal system = monoclinic

Cell lengths 8.761, 3.697, 6.644 Å; angles 90.00, 111.60, 90.00 degrees
Element x y z (fractional)
F: 0.152 0.008 0.055
F: 0.652 0.508 0.055
F: 0.830 0.008 0.410
F: 0.330 0.508 0.410
F: 0.670 0.508 0.590
F: 0.170 0.008 0.590
F: 0.348 0.508 0.945
F: 0.848 0.008 0.945
Hf: 0.039 0.008 0.265
Hf: 0.539 0.508 0.265
Hf: 0.461 0.508 0.735
Hf: 0.961 0.008 0.735
O: 0.477 0.008 0.260
O: 0.977 0.508 0.260
O: 0.023 0.508 0.740
O: 0.523 0.008 0.740

=====

Entry 13:
The following is a DFT calculation (PBE-GGA) of a relaxed SmDyIr crystal.

Results
Distance to the lowest polymorph of the same formula = 0.913 eV/atom
ΔH_f (0 K) = 0.222 eV/atom
Calculated total energy = -5.83 eV per atom
Crystal system = cubic

Cell lengths 4.741, 4.741, 4.741 Å; angles 60.00, 60.00, 60.00 degrees
Element x y z (fractional)
Dy: 0.250 0.250 0.250
Ir: 0.750 0.750 0.750
Sm: 0.000 0.000 0.000

=====

Entry 14:
The following is a DFT calculation (PBE-GGA) of a relaxed Dy5Os2O12 crystal.

Results
Calculated total energy = -8.24 eV per atom
Crystal system = monoclinic

Cell lengths 6.835, 6.835, 7.442 Å; angles 106.05, 106.05, 48.51 degrees
Element x y z (fractional)
Dy: 0.312 0.312 0.171
Dy: 0.699 0.699 0.358
Dy: 0.000 0.000 0.500
Dy: 0.301 0.301 0.642
Dy: 0.688 0.688 0.829
O: 0.914 0.420 0.086
O: 0.420 0.914 0.086
O: 0.501 0.501 0.176
O: 0.999 0.999 0.204
O: 0.596 0.099 0.427
O: 0.099 0.596 0.427
O: 0.901 0.404 0.573
O: 0.404 0.901 0.573
O: 0.001 0.001 0.796
O: 0.499 0.499 0.824
O: 0.580 0.086 0.914
O: 0.086 0.580 0.914
Os: 0.780 0.220 0.000
Os: 0.220 0.780 0.000

=====

Entry 15:
The following is a DFT calculation (PBE-GGA) of a relaxed Hf4Zr2Bi3C3 crystal.

Results
Calculated total energy = -8.68 eV per atom
Crystal system = monoclinic

Cell lengths 5.981, 5.981, 14.791 Å; angles 101.67, 101.67, 59.94 degrees
Element x y z (fractional)
Bi: 0.248 0.415 0.250
Bi: 0.922 0.078 0.250
Bi: 0.585 0.752 0.250
Bi: 0.415 0.248 0.750
Bi: 0.078 0.922 0.750
Bi: 0.752 0.585 0.750
C: 0.500 0.000 0.000
C: 0.841 0.329 0.000
C: 0.159 0.671 0.000
C: 0.329 0.841 0.500
C: 0.000 0.500 0.500
C: 0.671 0.159 0.500
Hf: 0.858 0.694 0.081
Hf: 0.196 0.024 0.081
Hf: 0.976 0.804 0.419
Hf: 0.306 0.142 0.419
Hf: 0.694 0.858 0.581
Hf: 0.024 0.196 0.581
Hf: 0.804 0.976 0.919
Hf: 0.142 0.306 0.919
Zr: 0.528 0.363 0.084
Zr: 0.637 0.472 0.416
Zr: 0.363 0.528 0.584
Zr: 0.472 0.637 0.916

=====

Entry 16:
The following is a DFT calculation (PBE-GGA) of a relaxed HgSbTeO crystal.

Results
Distance to the lowest polymorph of the same formula = 0.085 eV/atom
Calculated total energy = -3.44 eV per atom
Crystal system = tetragonal

Cell lengths 4.133, 4.133, 10.281 Å; angles 90.00, 90.00, 90.00 degrees
Element x y z (fractional)
Hg: 0.750 0.250 0.500
Hg: 0.250 0.750 0.500
O: 0.750 0.250 0.000
O: 0.250 0.750 0.000
Sb: 0.250 0.250 0.107
Sb: 0.750 0.750 0.893
Te: 0.750 0.750 0.265
Te: 0.250 0.250 0.735

=====

Entry 17:
The following is a DFT calculation (PBE-GGA) of a relaxed LaGd2Sn3Pb4 crystal.

Results
Distance to the lowest polymorph of the same formula = 0.006 eV/atom
Calculated total energy = -4.59 eV per atom
Crystal system = orthorhombic

Cell lengths 13.065, 13.065, 4.696 Å; angles 90.00, 90.00, 159.24 degrees
Element x y z (fractional)
Gd: 0.813 0.187 0.000
Gd: 0.187 0.813 0.000
La: 0.000 0.000 0.000
Pb: 0.597 0.403 0.000
Pb: 0.403 0.597 0.000
Pb: 0.706 0.294 0.500
Pb: 0.294 0.706 0.500
Sn: 0.902 0.098 0.500
Sn: 0.500 0.500 0.500
Sn: 0.098 0.902 0.500

=====

Entry 18:
The following is a DFT calculation (PBE-GGA) of a relaxed PrGaPd2 crystal.

Results
Calculated total energy = -5.36 eV per atom
Crystal system = hexagonal

Cell lengths 4.474, 4.474, 9.432 Å; angles 90.00, 90.00, 120.00 degrees
Element x y z (fractional)
Ga: 0.000 0.000 0.249
Ga: 0.000 0.000 0.751
Pd: 0.333 0.667 0.174
Pd: 0.667 0.333 0.324
Pd: 0.667 0.333 0.676
Pd: 0.333 0.667 0.826
Pr: 0.667 0.333 0.000
Pr: 0.333 0.667 0.500

=====

Entry 19:
The following is a DFT calculation (PBE-GGA) of a relaxed Dy3HfC2Se2 crystal.

Results
Calculated total energy = -7.28 eV per atom
Crystal system = trigonal

Cell lengths 3.657, 3.657, 13.146 Å; angles 90.00, 90.00, 120.00 degrees
Element x y z (fractional)
C: 0.667 0.333 0.016
C: 0.667 0.333 0.496
Dy: 0.000 0.000 0.396
Dy: 0.333 0.667 0.600
Dy: 0.333 0.667 0.904
Hf: 0.000 0.000 0.097
Se: 0.333 0.667 0.236
Se: 0.000 0.000 0.754

=====

Entry 20:
The following is a DFT calculation (PBE-GGA) of a relaxed RbHoW crystal.

Results
Calculated total energy = -3.94 eV per atom
Crystal system = cubic

Cell lengths 5.299, 5.299, 5.299 Å; angles 60.00, 60.00, 60.00 degrees
Element x y z (fractional)
Ho: 0.000 0.000 0.000
Rb: 0.750 0.750 0.750
W: 0.250 0.250 0.250